No. 1
Below is BaOs2Se after structural relaxation, with properties calculated at the PBE level.

Lattice parameters (Å, degrees): 4.0118 5.2154 5.1816 89.95 90.00 90.00
With the nearest neighbours (Å) after each atom.
Sites, in units of the cell vectors:
Ba 0.5000 0.7500 0.7500  8 Os 3.49, 4 Se 3.67-3.68
Os 0.0000 0.2498 0.9762  1 Os 2.34, 2 Se 2.46
Os 0.0000 0.2502 0.5238  1 Os 2.34, 2 Se 2.46
Se 0.5000 0.2500 0.2500  4 Os 2.46

formation energy from raw total energies = 0.4128 eV per atom
M_tot = 0.0 Bohr magnetons per cell
DOS at the Fermi energy = 2.4 states/eV/f.u.
uncorrected energy = -26.2 eV per cell
symmetry = Pmmm (47)

No. 2
Below is ErCr2Si2C after structural relaxation, with properties calculated at the PBE level.

Lattice parameters (Å, degrees): 3.9528 3.9528 5.2148 90.00 90.00 90.00
With the nearest neighbours (Å) after each atom.
Sites, in units of the cell vectors:
Er 0.0000 0.0000 0.5000  2 C 2.61
Cr 0.0000 0.5000 0.0000  2 C 1.98
Cr 0.5000 0.0000 0.0000  2 C 1.98
Si 0.5000 0.5000 0.2720  1 Si 2.38, 4 Cr 2.43
Si 0.5000 0.5000 0.7280  1 Si 2.38, 4 Cr 2.43
C 0.0000 0.0000 0.0000  4 Cr 1.98

formation energy from raw total energies = -0.4650 eV per atom
M_tot = 1.4 Bohr magnetons per cell
DOS at the Fermi energy = 4.1 states/eV/f.u.
uncorrected energy = -46.7 eV per cell
symmetry = P4/mmm (123)

No. 3
Below is SbPd6Au after structural relaxation, with properties calculated at the PBE level.

Lattice parameters (Å, degrees): 6.7204 7.5654 5.3092 44.11 46.64 58.55
With the nearest neighbours (Å) after each atom.
Sites, in units of the cell vectors:
Sb 0.5000 0.5000 0.5000  8 Pd 2.63-2.90
Pd 0.9820 0.4754 0.7873  7 Pd 2.64-2.94, 2 Sb 2.73-2.90, 1 Au 2.85
Pd 0.7469 0.9226 0.7683  1 Sb 2.63, 6 Pd 2.67-2.92, 1 Au 2.82
Pd 0.4758 0.2520 0.3354  1 Sb 2.68, 7 Pd 2.71-2.94, 2 Au 2.74-2.91
Pd 0.2531 0.0774 0.2317  1 Sb 2.63, 6 Pd 2.67-2.92, 1 Au 2.82
Pd 0.0180 0.5246 0.2127  7 Pd 2.64-2.94, 2 Sb 2.73-2.90, 1 Au 2.85
Pd 0.5242 0.7480 0.6646  1 Sb 2.68, 7 Pd 2.71-2.94, 2 Au 2.74-2.91
Au 0.0000 0.0000 0.0000  10 Pd 2.74-3.04

formation energy from raw total energies = -0.1389 eV per atom
M_tot = 0.0 Bohr magnetons per cell
DOS at the Fermi energy = 4.9 states/eV/f.u.
uncorrected energy = -39.7 eV per cell
symmetry = P-1 (2)

- Number 1 is which compound?
  BaOs2Se